# 1
The following is a meta-GGA SCAN calculation of a PBEsol-optimized structure of NaCr2NiSn, from Alexandria via LeMat-Bulk.

Cell and atoms, written as CIF:
```
data_NaCr2NiSn
_chemical_formula_sum 'Na1 Cr2 Ni1 Sn1'
_cell_length_a 4.6656
_cell_length_b 4.6656
_cell_length_c 4.3375
_cell_angle_alpha 90.00
_cell_angle_beta 90.00
_cell_angle_gamma 90.00
_space_group_name_H-M_alt 'P 4/m m m'
_space_group_IT_number 123
_space_group_name_Hall '-P 4 2'
loop_
_atom_site_label
_atom_site_type_symbol
_atom_site_fract_x
_atom_site_fract_y
_atom_site_fract_z
Na1 Na 0.0000 0.0000 0.0000
Cr1 Cr 0.0000 0.5000 0.0000
Ni1 Ni 0.0000 0.0000 0.5000
Sn1 Sn 0.5000 0.5000 0.5000
```

Properties
* energy: -0.63442 hartree per atom
* energy of formation: 1352 meV per atom

***

# 2
The following is a meta-GGA SCAN calculation of a PBEsol-optimized structure of SbMoSe2, from Alexandria via LeMat-Bulk.

Cell and atoms, written as CIF:
```
data_SbMoSe2
_chemical_formula_sum 'Sb2 Mo2 Se4'
_cell_length_a 9.1681
_cell_length_b 3.1723
_cell_length_c 6.1042
_cell_angle_alpha 90.00
_cell_angle_beta 106.32
_cell_angle_gamma 90.00
_space_group_name_H-M_alt 'C 1 m 1'
_space_group_IT_number 8
_space_group_name_Hall 'C -2y'
loop_
_atom_site_label
_atom_site_type_symbol
_atom_site_fract_x
_atom_site_fract_y
_atom_site_fract_z
Sb1 Sb 0.0000 0.0000 0.0000
Mo1 Mo 0.1539 0.5000 0.3898
Se1 Se 0.1907 0.0000 0.7206
Se2 Se 0.3594 0.0000 0.3596
```

Properties
* energy: -1.03498 hartree per atom
* energy relative to the elements, uncorrected: -0.351 eV per formula unit

***

# 3
The following is a meta-GGA SCAN calculation of a PBEsol-optimized structure of Sr3Li4Nb6O20, from Alexandria via LeMat-Bulk.

Cell and atoms, written as CIF:
```
data_Sr3Li4Nb6O20
_chemical_formula_sum 'Sr3 Li4 Nb6 O20'
_cell_length_a 5.6059
_cell_length_b 5.6077
_cell_length_c 13.3392
_cell_angle_alpha 90.17
_cell_angle_beta 102.05
_cell_angle_gamma 90.01
_space_group_name_H-M_alt 'P 1'
_space_group_IT_number 1
_space_group_name_Hall 'P 1'
loop_
_atom_site_label
_atom_site_type_symbol
_atom_site_fract_x
_atom_site_fract_y
_atom_site_fract_z
Sr1 Sr 0.0000 0.0000 0.0000
Sr2 Sr 0.1497 0.0105 0.3251
Sr3 Sr 0.5027 0.5063 0.0004
Li1 Li 0.0518 0.2524 0.6369
Li2 Li 0.0674 0.7560 0.6701
Li3 Li 0.5478 0.2482 0.6364
Li4 Li 0.5668 0.7476 0.6697
Nb1 Nb 0.0736 0.5057 0.1616
Nb2 Nb 0.2262 0.5104 0.4722
Nb3 Nb 0.4158 0.0059 0.8413
Nb4 Nb 0.5712 0.0033 0.1622
Nb5 Nb 0.7267 0.9978 0.4726
Nb6 Nb 0.9159 0.4981 0.8406
O1 O 0.1354 0.4602 0.3046
O2 O 0.1428 0.7616 0.8402
O3 O 0.1761 0.2593 0.8714
O4 O 0.2649 0.8020 0.1652
O5 O 0.2876 0.5301 0.6158
O6 O 0.3175 0.2811 0.1331
O7 O 0.3303 0.0330 0.6984
O8 O 0.4490 0.7560 0.4460
O9 O 0.4567 0.2413 0.4721
O10 O 0.4700 0.9551 0.0030
O11 O 0.6310 0.0409 0.3054
O12 O 0.6439 0.7427 0.8418
O13 O 0.6762 0.2459 0.8728
O14 O 0.7816 0.7312 0.1607
O15 O 0.7885 0.9717 0.6160
O16 O 0.8233 0.2297 0.1367
O17 O 0.8282 0.4684 0.6979
O18 O 0.9599 0.7566 0.4449
O19 O 0.9702 0.2463 0.4717
O20 O 0.9770 0.5504 0.0029
```

Properties
* energy: -0.55041 hartree per atom
* energy relative to the elements, uncorrected: -94.465 eV per formula unit

***

# 4
The following is a meta-GGA SCAN calculation of a PBEsol-optimized structure of CoPOs2, from Alexandria via LeMat-Bulk.

Cell and atoms, written as CIF:
```
data_CoPOs2
_chemical_formula_sum 'Co2 P2 Os4'
_cell_length_a 3.6481
_cell_length_b 3.6481
_cell_length_c 7.4194
_cell_angle_alpha 90.00
_cell_angle_beta 90.00
_cell_angle_gamma 90.00
_space_group_name_H-M_alt 'I -4 m 2'
_space_group_IT_number 119
_space_group_name_Hall 'I -4 -2'
loop_
_atom_site_label
_atom_site_type_symbol
_atom_site_fract_x
_atom_site_fract_y
_atom_site_fract_z
Co1 Co 0.0000 0.0000 0.0000
P1 P 0.0000 0.5000 0.7500
Os1 Os 0.0000 0.0000 0.5000
Os2 Os 0.0000 0.5000 0.2500
```

Properties
* energy: -1.56220 hartree per atom
* energy of formation: 356 meV per atom

***

# 5
The following is a meta-GGA SCAN calculation of a PBEsol-optimized structure of Ca2CS, from Alexandria via LeMat-Bulk.

Cell and atoms, written as CIF:
```
data_Ca2CS
_chemical_formula_sum 'Ca8 C4 S4'
_cell_length_a 6.5875
_cell_length_b 6.5875
_cell_length_c 6.5875
_cell_angle_alpha 90.00
_cell_angle_beta 90.00
_cell_angle_gamma 90.00
_space_group_name_H-M_alt 'F m -3 m'
_space_group_IT_number 225
_space_group_name_Hall '-F 4 2 3'
loop_
_atom_site_label
_atom_site_type_symbol
_atom_site_fract_x
_atom_site_fract_y
_atom_site_fract_z
Ca1 Ca 0.2500 0.2500 0.2500
C1 C 0.0000 0.0000 0.0000
S1 S 0.0000 0.0000 0.5000
```

Properties
* energy: -0.36989 hartree per atom
* energy relative to the elements, uncorrected: -1.206 eV per formula unit

***

# 6
The following is a meta-GGA SCAN calculation of a PBEsol-optimized structure of KAu2, from Alexandria via LeMat-Bulk.

Cell and atoms, written as CIF:
```
data_KAu2
_chemical_formula_sum 'K4 Au8'
_cell_length_a 4.6035
_cell_length_b 4.6035
_cell_length_c 15.6979
_cell_angle_alpha 90.00
_cell_angle_beta 90.00
_cell_angle_gamma 90.00
_space_group_name_H-M_alt 'I 41/a m d'
_space_group_IT_number 141
loop_
_space_group_symop_operation_xyz
'x,y,z'
'-x,-y,-z'
'-y+1/4,x+3/4,z+1/4'
'y+1/4,-x+3/4,-z+1/4'
'-x+1/2,-y,z+1/2'
'x+1/2,y,-z+1/2'
'y+1/4,-x+1/4,z+3/4'
'-y+1/4,x+1/4,-z+3/4'
'x,-y,-z'
'-x,y,z'
'-y+1/4,-x+1/4,-z+3/4'
'y+1/4,x+1/4,z+3/4'
'-x+1/2,y,-z+1/2'
'x+1/2,-y,z+1/2'
'y+1/4,x+3/4,-z+1/4'
'-y+1/4,-x+3/4,z+1/4'
'x+1/2,y+1/2,z+1/2'
'-x+1/2,-y+1/2,-z+1/2'
'-y+3/4,x+1/4,z+3/4'
'y+3/4,-x+1/4,-z+3/4'
'-x,-y+1/2,z'
'x,y+1/2,-z'
'y+3/4,-x+3/4,z+1/4'
'-y+3/4,x+3/4,-z+1/4'
'x+1/2,-y+1/2,-z+1/2'
'-x+1/2,y+1/2,z+1/2'
'-y+3/4,-x+3/4,-z+1/4'
'y+3/4,x+3/4,z+1/4'
'-x,y+1/2,-z'
'x,-y+1/2,z'
'y+3/4,x+1/4,-z+3/4'
'-y+3/4,-x+1/4,z+3/4'
loop_
_atom_site_label
_atom_site_type_symbol
_atom_site_fract_x
_atom_site_fract_y
_atom_site_fract_z
K1 K 0.0000 0.2500 0.3750
Au1 Au 0.0000 0.2500 0.7907
```

Properties
* energy: -1.80728 hartree per atom
* energy of formation: -298 meV per atom

***

# 7
The following is a meta-GGA SCAN calculation of a PBEsol-optimized structure of Ta2TlIn, from Alexandria via LeMat-Bulk.

Cell and atoms, written as CIF:
```
data_Ta2TlIn
_chemical_formula_sum 'Ta4 Tl2 In2'
_cell_length_a 9.8997
_cell_length_b 3.0500
_cell_length_c 5.2599
_cell_angle_alpha 90.00
_cell_angle_beta 100.21
_cell_angle_gamma 90.00
_space_group_name_H-M_alt 'C 1 2/m 1'
_space_group_IT_number 12
_space_group_name_Hall '-C 2y'
loop_
_atom_site_label
_atom_site_type_symbol
_atom_site_fract_x
_atom_site_fract_y
_atom_site_fract_z
Ta1 Ta 0.2495 0.0000 0.2471
Tl1 Tl 0.0000 0.0000 0.5000
In1 In 0.0000 0.5000 0.0000
```

Properties
* energy: -2.18066 hartree per atom
* energy of formation: 389 meV per atom

***

# 8
The following is a meta-GGA SCAN calculation of a PBEsol-optimized structure of NiMoSe2, from Alexandria via LeMat-Bulk.

Cell and atoms, written as CIF:
```
data_NiMoSe2
_chemical_formula_sum 'Ni4 Mo4 Se8'
_cell_length_a 6.1932
_cell_length_b 6.1932
_cell_length_c 6.1932
_cell_angle_alpha 90.00
_cell_angle_beta 90.00
_cell_angle_gamma 90.00
_space_group_name_H-M_alt 'F m -3 m'
_space_group_IT_number 225
_space_group_name_Hall '-F 4 2 3'
loop_
_atom_site_label
_atom_site_type_symbol
_atom_site_fract_x
_atom_site_fract_y
_atom_site_fract_z
Ni1 Ni 0.0000 0.0000 0.0000
Mo1 Mo 0.0000 0.0000 0.5000
Se1 Se 0.2500 0.2500 0.2500
```

Properties
* E above lowest polymorph: 0 meV/atom
* energy: -0.83035 hartree per atom
* energy relative to the elements, uncorrected: 0.836 eV per formula unit

***

Q: What is the energy in the fourth record?
A: -1.56220 hartree per atom